An optimized crystal structure of CrSnN2O. Source: Alexandria, functional PBE with a Hubbard U.

Output
* density: 5.07 g cm⁻³
* final energy: -5.92 eV per atom

abc: 4.1749 4.1749 4.0371
angles: 90.00 90.00 90.00
Last column: nearest neighbours and their distance in Å.
Element x y z (fractional)
Cr  0.0000  0.0000  0.0000  8 N 2.90, 4 O 2.95
Sn  0.5000  0.5000  0.5000  2 O 2.02, 4 N 2.09
N  0.0000  0.5000  0.5000  2 Sn 2.09
N  0.5000  0.0000  0.5000  2 Sn 2.09
O  0.5000  0.5000  0.0000  2 Sn 2.02